[1]
This record from Alexandria describes a geometry-optimized KNaCaF4 structure. The functional is GGA-PBE.

Unit cell a=7.215 b=7.215 c=7.215 alpha=144.26 beta=144.26 gamma=51.45
Atoms (fractional coordinates):
1 K 0.000 0.000 0.000
2 Na 0.703 0.703 0.000
3 Ca 0.357 0.357 0.000
4 F 0.188 0.188 0.000
5 F 0.352 0.852 0.500
6 F 0.533 0.533 0.000
7 F 0.852 0.352 0.500

Results
Crystal system   tetragonal



[2]
This record from Alexandria describes a geometry-optimized KCaNb2O6F structure. The functional is GGA-PBE.

Unit cell a=7.585 b=7.585 c=7.585 alpha=120.88 beta=119.60 gamma=89.59
Atoms (fractional coordinates):
1 K 0.500 0.000 0.000
2 K 0.500 0.500 0.500
3 Ca 0.000 0.000 0.000
4 Ca 0.500 0.000 0.500
5 Nb 0.000 0.000 0.500
6 Nb 0.000 0.500 0.000
7 Nb 0.000 0.500 0.500
8 Nb 0.500 0.500 0.000
9 O 0.059 0.427 0.241
10 O 0.059 0.817 0.631
11 O 0.067 0.817 0.250
12 O 0.309 0.559 0.750
13 O 0.314 0.183 0.741
14 O 0.314 0.573 0.131
15 O 0.686 0.427 0.869
16 O 0.686 0.817 0.259
17 O 0.691 0.441 0.250
18 O 0.933 0.183 0.750
19 O 0.941 0.183 0.369
20 O 0.941 0.573 0.759
21 F 0.347 0.097 0.250
22 F 0.653 0.903 0.750

Results
Crystal system   orthorhombic



[3]
This record from Alexandria describes a geometry-optimized KCaNdF6 structure. The functional is GGA-PBE.

Unit cell a=8.532 b=8.532 c=8.532 alpha=122.32 beta=119.04 gamma=88.85
Atoms (fractional coordinates):
1 K 0.266 0.016 0.250
2 K 0.734 0.984 0.750
3 Ca 0.000 0.000 0.500
4 Ca 0.000 0.500 0.000
5 Nd 0.000 0.500 0.500
6 Nd 0.500 0.500 0.000
7 F 0.040 0.405 0.219
8 F 0.040 0.821 0.635
9 F 0.062 0.812 0.250
10 F 0.314 0.179 0.719
11 F 0.314 0.595 0.135
12 F 0.318 0.568 0.750
13 F 0.682 0.432 0.250
14 F 0.686 0.405 0.865
15 F 0.686 0.821 0.281
16 F 0.938 0.188 0.750
17 F 0.960 0.179 0.365
18 F 0.960 0.595 0.781

Results
Crystal system   orthorhombic



Going through the records in order, we get raw total energy values of -4.85, -7.77, -5.77 eV/atom.
Going through the records in order, we get raw formation energy values of -3.145, -2.779, -3.650 eV per atom.